[1]
Below is a geometry-optimized CaRe2Ag structure, with properties calculated at the GGA-PBEsol level.

Cell lengths 5.6213, 5.6213, 4.7130 Å; angles 106.46, 106.46, 28.69 degrees
With the nearest neighbours (Å) after each atom.
Fractional coordinates of all 4 atoms:
1 Ca 0.0000 0.0000 0.0000  4 Ag 2.74, 2 Ca 2.79
2 Re 0.2313 0.2313 0.7370  6 Re 2.76-2.79, 2 Ag 2.81
3 Re 0.7687 0.7687 0.2630  6 Re 2.76-2.79, 2 Ag 2.81
4 Ag 0.5000 0.5000 0.5000  4 Ca 2.74, 2 Ag 2.79, 4 Re 2.81

Computed properties:
V	68.4	Å³ per cell
space group	C2/m, No. 12
ΔE to the lowest computed polymorph	0	meV per atom
calculated formation energy	0.6032	eV/atom

[2]
Below is a geometry-optimized CaReAgSn2 structure, with properties calculated at the GGA-PBEsol level.

Cell lengths 5.4682, 5.4682, 4.6712 Å; angles 90.00, 90.00, 90.00 degrees
With the nearest neighbours (Å) after each atom.
Fractional coordinates of all 5 atoms:
1 Ca 0.0000 0.0000 0.0000  2 Re 2.34
2 Re 0.0000 0.0000 0.5000  2 Ca 2.34
3 Ag 0.5000 0.5000 0.5000  8 Sn 3.60, 4 Re 3.87
4 Sn 0.0000 0.5000 0.0000  2 Ca 2.73
5 Sn 0.5000 0.0000 0.0000  2 Ca 2.73

Computed properties:
V	139.7	Å³ per cell
space group	P4/mmm, No. 123
calculated formation energy	1.8864	eV/atom

[3]
Below is a geometry-optimized CaAgRh2 structure, with properties calculated at the GGA-PBEsol level.

Cell lengths 5.4428, 5.4428, 5.4428 Å; angles 147.82, 128.67, 61.89 degrees
With the nearest neighbours (Å) after each atom.
Fractional coordinates of all 4 atoms:
1 Ca 0.0000 0.0000 0.0000  4 Ag 2.80, 4 Rh 2.84, 2 Ca 3.02
2 Ag 0.5000 0.5000 0.0000  4 Rh 2.71, 4 Ca 2.80, 2 Ag 3.02
3 Rh 0.2584 0.7584 0.5000  2 Ag 2.71, 6 Rh 2.80-3.02, 2 Ca 2.84
4 Rh 0.7416 0.2416 0.5000  2 Ag 2.71, 6 Rh 2.80-3.02, 2 Ca 2.84

Computed properties:
V	66.4	Å³ per cell
space group	Immm, No. 71
calculated formation energy	0.1160	eV/atom

[4]
Below is a geometry-optimized Ca2AgRh structure, with properties calculated at the GGA-PBEsol level.

Cell lengths 3.4278, 4.9627, 4.9623 Å; angles 90.00, 90.00, 90.00 degrees
With the nearest neighbours (Å) after each atom.
Fractional coordinates of all 4 atoms:
1 Ca 0.0000 0.0000 0.0000  4 Rh 3.01-3.02, 4 Ag 3.02
2 Ca 0.0000 0.5000 0.4964  4 Ag 3.01-3.02, 4 Rh 3.02
3 Ag 0.5000 0.5000 0.9946  8 Ca 3.01-3.02
4 Rh 0.5000 0.0000 0.5014  8 Ca 3.01-3.02

Computed properties:
V	84.4	Å³ per cell
space group	Pmm2, No. 25
calculated formation energy	-0.2411	eV/atom

[5]
Below is a geometry-optimized CaAgRh2 structure, with properties calculated at the GGA-PBEsol level.

Cell lengths 3.9934, 3.9934, 4.1190 Å; angles 90.00, 90.00, 90.00 degrees
With the nearest neighbours (Å) after each atom.
Fractional coordinates of all 4 atoms:
1 Ca 0.0000 0.0000 0.0000  4 Ag 2.82, 8 Rh 2.87
2 Ag 0.5000 0.5000 0.0000  4 Ca 2.82, 8 Rh 2.87
3 Rh 0.0000 0.5000 0.5000  4 Rh 2.82, 4 Ca 2.87, 4 Ag 2.87
4 Rh 0.5000 0.0000 0.5000  4 Rh 2.82, 4 Ca 2.87, 4 Ag 2.87

Computed properties:
V	65.7	Å³ per cell
space group	P4/mmm, No. 123
calculated formation energy	0.0337	eV/atom

[6]
Below is a geometry-optimized CaAgRh2 structure, with properties calculated at the GGA-PBEsol level.

Cell lengths 3.3427, 3.3427, 6.0751 Å; angles 90.00, 90.00, 90.00 degrees
With the nearest neighbours (Å) after each atom.
Fractional coordinates of all 4 atoms:
1 Ca 0.0000 0.0000 0.0000  8 Rh 2.90, 2 Ag 3.04
2 Ag 0.0000 0.0000 0.5000  8 Rh 2.72, 2 Ca 3.04
3 Rh 0.5000 0.5000 0.2772  1 Rh 2.71, 4 Ag 2.72, 4 Ca 2.90
4 Rh 0.5000 0.5000 0.7228  1 Rh 2.71, 4 Ag 2.72, 4 Ca 2.90

Computed properties:
V	67.9	Å³ per cell
space group	P4/mmm, No. 123
calculated formation energy	0.1903	eV/atom

[7]
Below is a geometry-optimized Ca2AgRh structure, with properties calculated at the GGA-PBEsol level.

Cell lengths 4.9240, 4.9240, 4.9240 Å; angles 60.00, 60.00, 60.00 degrees
With the nearest neighbours (Å) after each atom.
Fractional coordinates of all 4 atoms:
1 Ca 0.2500 0.2500 0.2500  4 Rh 3.02, 4 Ag 3.02
2 Ca 0.7500 0.7500 0.7500  4 Rh 3.02, 4 Ag 3.02
3 Ag 0.0000 0.0000 0.0000  8 Ca 3.02
4 Rh 0.5000 0.5000 0.5000  8 Ca 3.02

Computed properties:
V	84.4	Å³ per cell
space group	Fm-3m, No. 225
calculated formation energy	-0.2593	eV/atom

[8]
Below is a geometry-optimized CaAg2Ru structure, with properties calculated at the GGA-PBEsol level.

Cell lengths 9.5858, 9.5858, 9.5858 Å; angles 17.67, 17.67, 17.67 degrees
With the nearest neighbours (Å) after each atom.
Fractional coordinates of all 4 atoms:
1 Ca 0.0000 0.0000 0.0000  3 Ru 2.84, 6 Ca 2.95, 3 Ag 3.12
2 Ag 0.2407 0.2407 0.2407  9 Ag 2.86-2.95, 3 Ca 3.12
3 Ag 0.4927 0.4927 0.4927  3 Ru 2.80, 9 Ag 2.86-2.95
4 Ru 0.7472 0.7472 0.7472  3 Ag 2.80, 3 Ca 2.84, 6 Ru 2.95

Computed properties:
V	70.9	Å³ per cell
space group	R3m, No. 160
ΔE to the lowest computed polymorph	158	meV per atom
calculated formation energy	0.4736	eV/atom

[9]
Below is a geometry-optimized CaAgRu2 structure, with properties calculated at the GGA-PBEsol level.

Cell lengths 2.6949, 2.6949, 8.9573 Å; angles 90.00, 90.00, 90.00 degrees
With the nearest neighbours (Å) after each atom.
Fractional coordinates of all 4 atoms:
1 Ca 0.0000 0.0000 0.0000  4 Ca 2.69
2 Ag 0.0000 0.0000 0.5000  4 Ag 2.69, 8 Ru 2.85
3 Ru 0.5000 0.5000 0.2638  4 Ru 2.69, 4 Ag 2.85
4 Ru 0.5000 0.5000 0.7362  4 Ru 2.69, 4 Ag 2.85

Computed properties:
V	65.1	Å³ per cell
space group	P4/mmm, No. 123
ΔE to the lowest computed polymorph	132	meV per atom
calculated formation energy	0.6777	eV/atom

[10]
Below is a geometry-optimized CaAgRu2 structure, with properties calculated at the GGA-PBEsol level.

Cell lengths 3.8437, 3.8437, 4.4479 Å; angles 90.00, 90.00, 90.00 degrees
With the nearest neighbours (Å) after each atom.
Fractional coordinates of all 4 atoms:
1 Ca 0.0000 0.0000 0.0000  4 Ag 2.72, 8 Ru 2.94
2 Ag 0.5000 0.5000 0.0000  4 Ca 2.72, 8 Ru 2.94
3 Ru 0.0000 0.5000 0.5000  4 Ru 2.72, 4 Ag 2.94, 4 Ca 2.94
4 Ru 0.5000 0.0000 0.5000  4 Ru 2.72, 4 Ag 2.94, 4 Ca 2.94

Computed properties:
V	65.7	Å³ per cell
space group	P4/mmm, No. 123
ΔE to the lowest computed polymorph	0	meV per atom
calculated formation energy	0.5459	eV/atom

[11]
Below is a geometry-optimized CaAg2Ru structure, with properties calculated at the GGA-PBEsol level.

Cell lengths 5.0573, 5.0573, 5.0573 Å; angles 131.34, 131.34, 71.28 degrees
With the nearest neighbours (Å) after each atom.
Fractional coordinates of all 4 atoms:
1 Ca 0.0000 0.0000 0.0000  8 Ag 2.93, 4 Ru 2.95
2 Ag 0.2500 0.7500 0.5000  4 Ca 2.93, 4 Ru 2.93, 4 Ag 2.95
3 Ag 0.7500 0.2500 0.5000  4 Ca 2.93, 4 Ru 2.93, 4 Ag 2.95
4 Ru 0.5000 0.5000 0.0000  8 Ag 2.93, 4 Ca 2.95

Computed properties:
V	71.4	Å³ per cell
space group	I4/mmm, No. 139
ΔE to the lowest computed polymorph	25	meV per atom
calculated formation energy	0.3407	eV/atom

[12]
Below is a geometry-optimized CaAg2Ru structure, with properties calculated at the GGA-PBEsol level.

Cell lengths 5.1416, 5.1416, 5.1416 Å; angles 134.56, 131.98, 68.25 degrees
With the nearest neighbours (Å) after each atom.
Fractional coordinates of all 4 atoms:
1 Ca 0.0000 0.0000 0.0000  8 Ag 2.88-2.96, 4 Ru 2.92-2.98
2 Ag 0.4975 0.4975 0.0000  4 Ca 2.88, 4 Ru 2.89-3.01, 4 Ag 2.91-2.99
3 Ag 0.7466 0.2466 0.5000  4 Ru 2.88, 4 Ag 2.91-2.99, 4 Ca 2.93-2.96
4 Ru 0.2515 0.7515 0.5000  8 Ag 2.88-3.01, 4 Ca 2.92-2.98

Computed properties:
V	70.7	Å³ per cell
space group	Imm2, No. 44
ΔE to the lowest computed polymorph	0	meV per atom
calculated formation energy	0.3155	eV/atom

[13]
Below is a geometry-optimized CaAgS2 structure, with properties calculated at the GGA-PBEsol level.

Cell lengths 7.9893, 7.9893, 7.9893 Å; angles 28.77, 28.77, 28.77 degrees
With the nearest neighbours (Å) after each atom.
Fractional coordinates of all 4 atoms:
1 Ca 0.0000 0.0000 0.0000  6 S 2.77
2 Ag 0.5000 0.5000 0.5000  2 S 2.27
3 S 0.4013 0.4013 0.4013  1 Ag 2.27
4 S 0.5987 0.5987 0.5987  1 Ag 2.27

Computed properties:
E_form (uncorrected)	-0.715	eV/atom
V	104.5	Å³ per cell
space group	R-3m, No. 166

[14]
Below is a geometry-optimized Ca3AgS structure, with properties calculated at the GGA-PBEsol level.

Cell lengths 5.4998, 5.4998, 5.4998 Å; angles 90.00, 90.00, 90.00 degrees
With the nearest neighbours (Å) after each atom.
Fractional coordinates of all 5 atoms:
1 Ca 0.0000 0.0000 0.5000  2 Ag 2.75
2 Ca 0.0000 0.5000 0.0000  2 Ag 2.75
3 Ca 0.5000 0.0000 0.0000  2 Ag 2.75
4 Ag 0.0000 0.0000 0.0000  6 Ca 2.75
5 S 0.5000 0.5000 0.5000  12 Ca 3.89

Computed properties:
E_form (uncorrected)	-0.154	eV/atom
V	166.4	Å³ per cell
space group	Pm-3m, No. 221
ΔE to the lowest computed polymorph	559	meV per atom